# 1
Entry from the Alexandria database: LaH3Pt after structural relaxation (PBE).

a b c (Å): 6.242 4.393 4.624
angles (deg): 91.27 93.23 100.80
Fractional positions:
H 0.835 0.637 0.274
H 0.459 0.356 0.753
H 0.978 0.178 0.544
H 0.859 0.630 0.813
H 0.155 0.485 0.066
H 0.415 0.889 0.111
Pt 0.652 0.515 0.530
Pt 0.308 0.208 0.100
La 0.798 0.111 0.027
La 0.202 0.738 0.568

Summary:
SG   P1 (1)
Mass density   9.01 g/cm3
DOS(E_F)   0.10 states/eV/atom
DFT total energy   -4.81 eV/atom

***

# 2
Entry from the Alexandria database: B2TePd after structural relaxation (PBE).

a b c (Å): 5.162 5.162 6.125
angles (deg): 65.08 65.08 90.00
Fractional positions:
B 0.375 0.409 0.750
B 0.591 0.125 0.250
B 0.875 0.841 0.750
B 0.159 0.625 0.250
Te 0.750 0.250 0.500
Te 0.000 0.000 0.000
Pd 0.500 0.500 0.000
Pd 0.250 0.750 0.500

Summary:
SG   I-42d (122)
Mass density   6.48 g/cm3
Uncorrected formation energy   0.655 eV per atom
DOS(E_F)   0.44 states/eV/atom
DFT total energy   -4.77 eV/atom

***

# 3
Entry from the Alexandria database: Ba2NaTlIr after structural relaxation (PBE).

a b c (Å): 6.141 6.141 5.372
angles (deg): 90.00 90.00 90.00
Fractional positions:
Na 0.500 0.500 0.500
Ba 0.000 0.500 0.000
Ba 0.500 0.000 0.000
Tl 0.000 0.000 0.500
Ir 0.000 0.000 0.000

Summary:
SG   P4/mmm (123)
Energy of formation from the pure elements   -0.6 eV/f.u.
Mass density   5.69 g/cm3
DOS(E_F)   0.62 states/eV/atom
DFT total energy   -3.40 eV/atom

***

# 4
Entry from the Alexandria database: Dy2AlCu4 after structural relaxation (PBE).

a b c (Å): 4.464 4.464 7.890
angles (deg): 106.43 106.43 90.00
Fractional positions:
Al 0.000 0.000 0.000
Cu 0.835 0.835 0.670
Cu 0.500 0.000 0.000
Cu 0.000 0.500 0.000
Cu 0.165 0.165 0.330
Dy 0.361 0.361 0.721
Dy 0.639 0.639 0.279

Summary:
SG   I4/mmm (139)
Energy of formation from the pure elements   0.9 eV/f.u.
Mass density   6.99 g/cm3
DOS(E_F)   0.58 states/eV/atom
DFT total energy   -4.07 eV/atom

***

# 5
Entry from the Alexandria database: MnCr2GeSb after structural relaxation (PBE).

a b c (Å): 5.055 5.335 5.055
angles (deg): 90.00 90.00 90.00
Fractional positions:
Sb 0.000 0.000 0.000
Cr 0.500 0.000 0.000
Cr 0.000 0.000 0.500
Mn 0.500 0.500 0.500
Ge 0.000 0.500 0.000

Summary:
SG   P4/mmm (123)
Mass density   4.30 g/cm3
Uncorrected formation energy   1.390 eV per atom
DOS(E_F)   0.45 states/eV/atom
DFT total energy   -6.04 eV/atom

***

# 6
Entry from the Alexandria database: Ca2LaPt after structural relaxation (PBE).

a b c (Å): 9.861 9.861 7.545
angles (deg): 49.19 49.19 90.00
Fractional positions:
Ca 0.875 0.987 0.750
Ca 0.375 0.263 0.750
Ca 0.013 0.625 0.250
Ca 0.737 0.125 0.250
La 0.250 0.750 0.500
La 0.500 0.500 0.000
Pt 0.000 0.000 0.000
Pt 0.750 0.250 0.500

Summary:
SG   I-42d (122)
Energy of formation from the pure elements   -1.6 eV/f.u.
Mass density   4.91 g/cm3
DOS(E_F)   1.27 states/eV/atom
DFT total energy   -4.14 eV/atom

***

# 7
Entry from the Alexandria database: AlIn2Os after structural relaxation (PBE).

a b c (Å): 5.165 5.165 4.758
angles (deg): 81.94 81.94 35.87
Fractional positions:
Al 0.750 0.750 0.750
In 0.513 0.513 0.489
In 0.987 0.987 0.011
Os 0.250 0.250 0.250

Summary:
SG   C2/m (12)
Energy of formation from the pure elements   1.4 eV/f.u.
Mass density   10.09 g/cm3
DOS(E_F)   0.44 states/eV/atom
DFT total energy   -4.76 eV/atom

***

# 8
Entry from the Alexandria database: CaZr2TaI after structural relaxation (PBE).

a b c (Å): 5.324 5.324 5.127
angles (deg): 90.00 90.00 90.00
Fractional positions:
Ca 0.500 0.500 0.500
I 0.000 0.000 0.000
Ta 0.000 0.000 0.500
Zr 0.500 0.000 0.000
Zr 0.000 0.500 0.000

Summary:
SG   P4/mmm (123)
Mass density   6.06 g/cm3
Uncorrected formation energy   1.016 eV per atom
DOS(E_F)   2.44 states/eV/atom
DFT total energy   -5.48 eV/atom

***

Repeat the seventh record exactly.
Entry from the Alexandria database: AlIn2Os after structural relaxation (PBE).

a b c (Å): 5.165 5.165 4.758
angles (deg): 81.94 81.94 35.87
Fractional positions:
Al 0.750 0.750 0.750
In 0.513 0.513 0.489
In 0.987 0.987 0.011
Os 0.250 0.250 0.250

Summary:
SG   C2/m (12)
Energy of formation from the pure elements   1.4 eV/f.u.
Mass density   10.09 g/cm3
DOS(E_F)   0.44 states/eV/atom
DFT total energy   -4.76 eV/atom

***

Repeat the sixth record exactly.
Entry from the Alexandria database: Ca2LaPt after structural relaxation (PBE).

a b c (Å): 9.861 9.861 7.545
angles (deg): 49.19 49.19 90.00
Fractional positions:
Ca 0.875 0.987 0.750
Ca 0.375 0.263 0.750
Ca 0.013 0.625 0.250
Ca 0.737 0.125 0.250
La 0.250 0.750 0.500
La 0.500 0.500 0.000
Pt 0.000 0.000 0.000
Pt 0.750 0.250 0.500

Summary:
SG   I-42d (122)
Energy of formation from the pure elements   -1.6 eV/f.u.
Mass density   4.91 g/cm3
DOS(E_F)   1.27 states/eV/atom
DFT total energy   -4.14 eV/atom

***

mass density of number 7 (AlIn2Os)?
10.09 g/cm3

***

The lowest DFT total energy belongs to which entry?
MnCr2GeSb